Entry from Alexandria: crystalline Be2W2O at its relaxed geometry (PBE+U).

Cell lengths 5.7171, 5.7171, 3.9804 Å; angles 90.00, 90.00, 90.00 degrees
Fractional positions:
Be 0.1296 0.3704 0.0000
Be 0.3704 0.8704 0.0000
Be 0.6296 0.1296 0.0000
Be 0.8704 0.6296 0.0000
W 0.1611 0.6611 0.5000
W 0.3389 0.1611 0.5000
W 0.6611 0.8389 0.5000
W 0.8389 0.3389 0.5000
O 0.0000 0.0000 0.5000
O 0.5000 0.5000 0.5000

Calculated values
SG: No. 127
ΔE to the lowest computed polymorph in meV/atom: 0